No. 1
Compound: FePd2S4
Source: the Alexandria database
Functional: GGA-PBE
Structure: relaxed

## Properties
E_form (uncorrected)   174 kJ/mol of formula units
Total magnetic moment   1.91 μB/f.u.
DFT total energy   -33.556 eV/cell
SG   No. 139

Geometry as POSCAR:
```
FePd2S4
1.0
4.685 0.000 0.000
0.000 4.685 0.000
2.343 2.343 5.739
S Fe Pd
4 1 2
Direct
0.189 0.189 0.622
0.811 0.811 0.378
0.000 0.500 0.000
0.500 0.000 0.000
0.000 0.000 0.000
0.385 0.385 0.231
0.615 0.615 0.769
```

***

No. 2
Compound: AcPrEr
Source: the Alexandria database
Functional: GGA-PBE
Structure: relaxed

## Properties
Total magnetic moment   0.00 μB/f.u.
DFT total energy   -13.083 eV/cell
SG   No. 156
ΔE_f   35 kJ/mol of formula units

Geometry as POSCAR:
```
AcPrEr
1.0
3.621 0.000 0.000
0.000 5.938 0.000
0.000 -2.969 5.143
Pr Ac Er
1 1 1
Direct
0.667 0.667 0.333
0.166 0.000 0.000
0.168 0.333 0.667
```

***

No. 3
Compound: Pm4SmTm7
Source: the Alexandria database
Functional: GGA-PBE
Structure: relaxed

## Properties
Total magnetic moment   0.00 μB/f.u.
DFT total energy   -51.809 eV/cell
SG   No. 12
ΔE_f   310 kJ/mol of formula units

Geometry as POSCAR:
```
Pm4SmTm7
1.0
-2.481 2.785 4.501
-10.060 3.962 -4.201
-3.993 -3.725 3.899
Pm Sm Tm
4 1 7
Direct
0.637 0.223 0.503
0.363 0.777 0.497
0.775 0.668 0.782
0.225 0.332 0.218
0.000 0.000 0.000
0.789 0.923 0.499
0.211 0.077 0.501
0.069 0.685 0.177
0.931 0.315 0.823
0.368 0.495 0.769
0.500 0.000 0.000
0.632 0.505 0.231
```

***

No. 4
Compound: Hf3CoPt
Source: the Alexandria database
Functional: GGA-PBE
Structure: relaxed

## Properties
Total magnetic moment   0.00 μB/f.u.
DFT total energy   -42.915 eV/cell
SG   No. 221
ΔE_f   9 kJ/mol of formula units

Geometry as POSCAR:
```
Hf3CoPt
1.0
4.685 0.000 0.000
0.000 4.685 0.000
0.000 0.000 4.685
Co Hf Pt
1 3 1
Direct
0.000 0.000 0.000
0.000 0.500 0.000
0.000 0.000 0.500
0.500 0.000 0.000
0.500 0.500 0.500
```

***

No. 5
Compound: LiTiNb2N4
Source: the Alexandria database
Functional: GGA-PBE
Structure: relaxed

## Properties
E_form (uncorrected)   -888 kJ/mol of formula units
Total magnetic moment   0.00 μB/f.u.
DFT total energy   -72.454 eV/cell
SG   No. 10

Geometry as POSCAR:
```
LiTiNb2N4
1.0
-1.840 2.241 1.007
-2.129 -3.324 3.506
4.163 2.416 2.231
Li Ti Nb N
1 1 2 4
Direct
0.500 0.500 0.000
0.000 0.000 0.000
0.500 0.000 0.500
0.000 0.500 0.500
0.500 0.247 0.238
0.500 0.753 0.762
0.000 0.241 0.748
0.000 0.759 0.252
```